Density functional theory data (SCAN) for a PBEsol-optimized structure of LiZrZn2.

Geometry as extended XYZ:
```
4
Lattice="-1.997 -1.968 3.507 1.631 -3.847 1.644 2.031 -0.048 4.004" Properties=species:S:1:pos:R:3 pbc="T T T"
Zn 1.248 -4.397 6.866
Zn 0.416 -1.466 2.289
Zr 0.832 -2.932 4.578
Li 0.000 0.000 0.000
```

Its formation energy is -260 meV/atom. As for the energy above the lowest structure with this stoichiometry: 0.00 kcal/mol of atoms.

Density functional theory data (SCAN) for a PBEsol-optimized structure of LiZrZn2.

Geometry as extended XYZ:
```
4
Lattice="-0.964 -2.475 1.076 2.702 -2.304 -2.881 3.700 0.050 3.430" Properties=species:S:1:pos:R:3 pbc="T T T"
Zn 0.201 0.003 0.186
Zn 4.002 -1.116 1.017
Zr 1.603 -1.210 2.471
Li 1.482 -2.381 -0.334
```

Its formation energy is -204 meV/atom. As for the energy above the lowest structure with this stoichiometry: 1.27 kcal/mol of atoms.

Density functional theory data (SCAN) for a PBEsol-optimized structure of Li2ZrZn.

Geometry as extended XYZ:
```
4
Lattice="2.820 0.000 0.000 0.000 2.820 0.000 0.000 0.000 8.560" Properties=species:S:1:pos:R:3 pbc="T T T"
Li 0.000 0.000 6.746
Li 0.000 0.000 1.814
Zn 1.410 1.410 0.000
Zr 1.410 1.410 4.280
```

Its formation energy is 91 meV/atom.

Density functional theory data (SCAN) for a PBEsol-optimized structure of Li2ZrZn.

Geometry as extended XYZ:
```
4
Lattice="3.102 0.000 0.000 0.000 4.572 0.000 0.000 0.000 4.572" Properties=species:S:1:pos:R:3 pbc="T T T"
Li 0.000 0.000 2.286
Li 0.000 2.286 0.000
Zn 1.551 2.286 2.286
Zr 1.551 0.000 0.000
```

Its formation energy is 233 meV/atom.

Density functional theory data (SCAN) for a PBEsol-optimized structure of LiZr2Zn.

Geometry as extended XYZ:
```
4
Lattice="2.874 0.000 0.000 0.000 3.996 0.000 0.000 0.000 6.358" Properties=species:S:1:pos:R:3 pbc="T T T"
Li 1.437 1.998 0.000
Zn 1.437 1.998 3.179
Zr 0.000 0.000 4.701
Zr 0.000 0.000 1.658
```

Its formation energy is 18 meV/atom.

Density functional theory data (SCAN) for a PBEsol-optimized structure of LiZr2Zn.

Geometry as extended XYZ:
```
4
Lattice="-1.235 0.351 2.839 -2.847 -1.111 0.608 2.475 -8.602 3.850" Properties=species:S:1:pos:R:3 pbc="T T T"
Li -0.898 -4.476 3.582
Zn -0.386 -2.375 1.835
Zr -4.030 -0.873 3.483
Zr -1.178 -7.080 5.492
```

Its formation energy is 78 meV/atom.

Density functional theory data (SCAN) for a PBEsol-optimized structure of LiZr3.

Geometry as extended XYZ:
```
4
Lattice="3.154 0.000 0.000 0.000 3.154 0.000 0.000 0.000 8.441" Properties=species:S:1:pos:R:3 pbc="T T T"
Li 0.000 0.000 0.000
Zr 1.577 1.577 2.068
Zr 0.000 0.000 4.221
Zr 1.577 1.577 6.373
```

Its formation energy is 135 meV/atom. As for the energy above the lowest structure with this stoichiometry: 0.00 kcal/mol of atoms.

Density functional theory data (SCAN) for a PBEsol-optimized structure of Li2Zr.

Geometry as extended XYZ:
```
6
Lattice="2.713 0.000 0.000 0.000 5.061 0.000 -1.356 0.000 8.270" Properties=species:S:1:pos:R:3 pbc="T T T"
Li 1.356 3.796 4.736
Li 0.000 3.796 7.461
Li 0.000 1.265 3.534
Li 1.356 1.265 0.809
Zr 0.000 3.796 1.878
Zr 1.356 1.265 6.392
```

Its formation energy is 354 meV/atom.